Li3Cd7Ag2 | PBE-GGA | optimized geometry

a = 4.667 Å, b = 28.764 Å, c = 3.694 Å
α = 90.00°, β = 90.00°, γ = 90.00°
Space group Cmmm (No. 65)
Inequivalent atoms, fractional coordinates:
Li (0.000, 0.000, 0.000) [2 per cell]
Li (0.000, 0.151, 0.000) [4 per cell]
Cd (0.000, 0.077, 0.500) [4 per cell]
Cd (0.000, 0.224, 0.500) [4 per cell]
Cd (0.000, 0.415, 0.000) [4 per cell]
Cd (0.000, 0.500, 0.500) [2 per cell]
Ag (0.000, 0.335, 0.500) [4 per cell]

Summary:
Magnetic moment, μB/f.u.: 0.00
Fermi-level density of states, states/eV per atom: 0.254
Energy relative to the elements, eV/atom: -0.09
Total energy, eV for the cell shown: -37.8
Energy relative to the lowest polymorph listed for this composition, meV/atom: 21